Entry 1:
{
  "formula": "LiHoPuHg",
  "functional": "PBE",
  "state": "optimized geometry",
  "volume_a3_per_atom": 25.5,
  "formation_enthalpy_0k_ev_per_atom": 0.011,
  "spacegroup": "F-43m, No. 216",
  "m_tot_mub_per_atom": 1.598,
  "dos_at_fermi_per_ev_cell": 12.0,
  "cell": [[5.242, 0.000, 0.000], [2.621, 4.540, 0.000], [2.621, 1.513, 4.280]],
  "species": ["Ho", "Li", "Hg", "Pu"],
  "frac_coords": [[0.750, 0.750, 0.750], [0.500, 0.500, 0.500], [0.000, 0.000, 0.000], [0.250, 0.250, 0.250]]
}

***

Entry 2:
{
  "formula": "LiHoHgSb",
  "functional": "PBE",
  "state": "optimized geometry",
  "volume_a3_per_atom": 23.7,
  "e_form_raw_ev_per_atom": -0.534,
  "spacegroup": "F-43m, No. 216",
  "m_tot_mub_per_atom": 0.000,
  "dos_at_fermi_per_ev_cell": 2.9,
  "cell": [[5.118, 0.000, 0.000], [2.559, 4.432, 0.000], [2.559, 1.477, 4.179]],
  "species": ["Sb", "Li", "Hg", "Ho"],
  "frac_coords": [[0.250, 0.250, 0.250], [0.000, 0.000, 0.000], [0.750, 0.750, 0.750], [0.500, 0.500, 0.500]]
}

***

Entry 3:
{
  "formula": "Li2HoScHg4",
  "functional": "PBE",
  "state": "optimized geometry",
  "volume_a3_per_atom": 21.1,
  "formation_enthalpy_0k_ev_per_atom": -0.410,
  "spacegroup": "R-3m, No. 166",
  "m_tot_mub_per_atom": 0.000,
  "dos_at_fermi_per_ev_cell": 6.9,
  "cell": [[-0.920, -1.237, 4.664], [2.835, -3.308, 2.268], [5.524, 4.410, 4.846]],
  "species": ["Li", "Li", "Ho", "Sc", "Hg", "Hg", "Hg", "Hg"],
  "frac_coords": [[0.752, 0.752, 0.745], [0.248, 0.248, 0.255], [0.000, 0.000, 0.000], [0.500, 0.500, 0.500], [0.379, 0.379, 0.863], [0.872, 0.872, 0.383], [0.128, 0.128, 0.617], [0.621, 0.621, 0.137]]
}

***

Entry 4:
{
  "formula": "LiHoSc2Hg4",
  "functional": "PBE",
  "state": "optimized geometry",
  "volume_a3_per_atom": 22.1,
  "formation_enthalpy_0k_ev_per_atom": -0.411,
  "spacegroup": "R-3m, No. 166",
  "m_tot_mub_per_atom": 0.000,
  "dos_at_fermi_per_ev_cell": 6.3,
  "cell": [[-1.267, -3.993, -2.646], [2.100, -4.382, 0.968], [-5.777, -4.487, 4.898]],
  "species": ["Li", "Ho", "Sc", "Sc", "Hg", "Hg", "Hg", "Hg"],
  "frac_coords": [[0.500, 0.500, 0.500], [0.000, 0.000, 0.000], [0.755, 0.755, 0.736], [0.245, 0.245, 0.264], [0.383, 0.383, 0.852], [0.873, 0.873, 0.381], [0.127, 0.127, 0.619], [0.617, 0.617, 0.148]]
}

***

Entry 5:
{
  "formula": "LiHoSiHg",
  "functional": "PBE",
  "state": "optimized geometry",
  "volume_a3_per_atom": 20.6,
  "e_form_raw_ev_per_atom": -0.391,
  "spacegroup": "F-43m, No. 216",
  "m_tot_mub_per_atom": 0.000,
  "dos_at_fermi_per_ev_cell": 1.3,
  "cell": [[-4.382, -1.933, 0.952], [-2.803, -1.616, -3.658], [-0.733, -4.793, -0.580]],
  "species": ["Si", "Li", "Hg", "Ho"],
  "frac_coords": [[0.750, 0.750, 0.750], [0.500, 0.500, 0.500], [0.250, 0.250, 0.250], [0.000, 0.000, 0.000]]
}

***

Entry 6:
{
  "formula": "LiSmHoHg",
  "functional": "PBE",
  "state": "optimized geometry",
  "volume_a3_per_atom": 25.8,
  "formation_enthalpy_0k_ev_per_atom": -0.204,
  "spacegroup": "F-43m, No. 216",
  "m_tot_mub_per_atom": 0.001,
  "dos_at_fermi_per_ev_cell": 5.2,
  "cell": [[5.265, 0.000, 0.000], [2.633, 4.560, 0.000], [2.633, 1.520, 4.299]],
  "species": ["Li", "Hg", "Sm", "Ho"],
  "frac_coords": [[0.000, 0.000, 0.000], [0.500, 0.500, 0.500], [0.250, 0.250, 0.250], [0.750, 0.750, 0.750]]
}

***

Entry 7:
{
  "formula": "LiSmHo2Hg4",
  "functional": "PBE",
  "state": "optimized geometry",
  "volume_a3_per_atom": 24.7,
  "formation_enthalpy_0k_ev_per_atom": -0.445,
  "spacegroup": "R-3m, No. 166",
  "m_tot_mub_per_atom": 0.000,
  "dos_at_fermi_per_ev_cell": 6.9,
  "cell": [[-4.757, 1.524, 1.123], [-3.996, -2.082, -2.431], [-3.442, -6.333, 5.688]],
  "species": ["Li", "Sm", "Ho", "Ho", "Hg", "Hg", "Hg", "Hg"],
  "frac_coords": [[0.500, 0.500, 0.500], [0.000, 0.000, 0.000], [0.756, 0.756, 0.731], [0.244, 0.244, 0.269], [0.382, 0.382, 0.853], [0.873, 0.873, 0.380], [0.127, 0.127, 0.620], [0.618, 0.618, 0.147]]
}

***

Entry 8:
{
  "formula": "Li2SmHoHg4",
  "functional": "PBE",
  "state": "optimized geometry",
  "volume_a3_per_atom": 22.8,
  "formation_enthalpy_0k_ev_per_atom": -0.442,
  "spacegroup": "R-3m, No. 166",
  "m_tot_mub_per_atom": 0.000,
  "dos_at_fermi_per_ev_cell": 5.8,
  "cell": [[5.047, 0.000, 0.000], [2.523, 4.371, 0.000], [2.523, 1.457, 8.273]],
  "species": ["Li", "Li", "Sm", "Ho", "Hg", "Hg", "Hg", "Hg"],
  "frac_coords": [[0.751, 0.751, 0.746], [0.249, 0.249, 0.254], [0.000, 0.000, 0.000], [0.500, 0.500, 0.500], [0.377, 0.377, 0.868], [0.873, 0.873, 0.380], [0.127, 0.127, 0.620], [0.623, 0.623, 0.132]]
}

***

Entry 9:
{
  "formula": "SrLiHo2Hg4",
  "functional": "PBE",
  "state": "optimized geometry",
  "volume_a3_per_atom": 26.0,
  "formation_enthalpy_0k_ev_per_atom": -0.424,
  "spacegroup": "R-3m, No. 166",
  "m_tot_mub_per_atom": 0.000,
  "dos_at_fermi_per_ev_cell": 3.5,
  "cell": [[-1.157, 4.931, 0.883], [-3.648, 2.323, -2.781], [-7.847, -0.133, 5.430]],
  "species": ["Sr", "Li", "Ho", "Ho", "Hg", "Hg", "Hg", "Hg"],
  "frac_coords": [[0.000, 0.000, 0.000], [0.500, 0.500, 0.500], [0.760, 0.760, 0.719], [0.240, 0.240, 0.281], [0.393, 0.393, 0.820], [0.873, 0.873, 0.380], [0.127, 0.127, 0.620], [0.607, 0.607, 0.180]]
}

***

Entry 10:
{
  "formula": "SrLi2HoHg4",
  "functional": "PBE",
  "state": "optimized geometry",
  "volume_a3_per_atom": 24.5,
  "formation_enthalpy_0k_ev_per_atom": -0.411,
  "spacegroup": "R-3m, No. 166",
  "m_tot_mub_per_atom": 0.000,
  "dos_at_fermi_per_ev_cell": 4.0,
  "cell": [[-0.244, -3.452, 3.699], [3.243, 0.216, 3.885], [-4.648, 4.065, 6.956]],
  "species": ["Sr", "Li", "Li", "Ho", "Hg", "Hg", "Hg", "Hg"],
  "frac_coords": [[0.000, 0.000, 0.000], [0.758, 0.758, 0.726], [0.242, 0.242, 0.274], [0.500, 0.500, 0.500], [0.387, 0.387, 0.838], [0.872, 0.872, 0.383], [0.128, 0.128, 0.617], [0.613, 0.613, 0.162]]
}

***

Entry 11:
{
  "formula": "LiTbHoHg",
  "functional": "PBE",
  "state": "optimized geometry",
  "volume_a3_per_atom": 25.2,
  "formation_enthalpy_0k_ev_per_atom": -0.211,
  "spacegroup": "F-43m, No. 216",
  "m_tot_mub_per_atom": 0.000,
  "dos_at_fermi_per_ev_cell": 4.9,
  "cell": [[5.221, 0.000, 0.000], [2.611, 4.522, 0.000], [2.611, 1.507, 4.263]],
  "species": ["Li", "Tb", "Hg", "Ho"],
  "frac_coords": [[0.000, 0.000, 0.000], [0.250, 0.250, 0.250], [0.500, 0.500, 0.500], [0.750, 0.750, 0.750]]
}

***

Entry 12:
{
  "formula": "LiTbHo2Hg4",
  "functional": "PBE",
  "state": "optimized geometry",
  "volume_a3_per_atom": 24.3,
  "formation_enthalpy_0k_ev_per_atom": -0.452,
  "spacegroup": "R-3m, No. 166",
  "m_tot_mub_per_atom": 0.000,
  "dos_at_fermi_per_ev_cell": 7.1,
  "cell": [[5.129, 0.000, 0.000], [2.564, 4.442, 0.000], [2.564, 1.481, 8.537]],
  "species": ["Li", "Tb", "Ho", "Ho", "Hg", "Hg", "Hg", "Hg"],
  "frac_coords": [[0.500, 0.500, 0.500], [0.000, 0.000, 0.000], [0.755, 0.755, 0.735], [0.245, 0.245, 0.265], [0.379, 0.379, 0.863], [0.874, 0.874, 0.377], [0.126, 0.126, 0.623], [0.621, 0.621, 0.137]]
}

***

Number 10 is which compound? SrLi2HoHg4